Density functional theory data (PBE) for As2BrCl after structural relaxation.

The space-group type is R-3m (166). The calculation puts the energy relative to the lowest polymorph listed for this composition at 790 meV/atom. As for the calculated density: 5166 kg/m³. The uncorrected formation energy comes out at 0.470 eV/atom. The total energy is -2.735 eV per atom.

a = 9.4215 Å, b = 9.4215 Å, c = 9.4215 Å
α = 19.96°, β = 19.96°, γ = 19.96°
Atoms (fractional coordinates):
As: 0.2487 0.2487 0.2487
As: 0.7513 0.7513 0.7513
Br: 0.0000 0.0000 0.0000
Cl: 0.5000 0.5000 0.5000